Entry 1:
Compound: ZrTl2Cl
Source: Alexandria
Functional: PBE
Structure: relaxed

* ΔE_f (raw): 0.105 eV/atom
* E above lowest polymorph: 0.648 eV per atom

Geometry as POSCAR:
```
ZrTl2Cl
1.0
0.0000 3.6616 3.6616
3.6616 0.0000 3.6616
3.6616 3.6616 0.0000
Zr Tl Cl
1 2 1
Direct
0.0000 0.0000 0.0000
0.5000 0.5000 0.5000
0.7500 0.7500 0.7500
0.2500 0.2500 0.2500
```

---

Entry 2:
Compound: NbFeHRu2
Source: Alexandria
Functional: PBE
Structure: relaxed

* E above lowest polymorph: 0.000 eV per atom

Geometry as POSCAR:
```
NbFeHRu2
1.0
3.9384 0.0000 0.0000
0.0000 3.9384 0.0000
0.0000 0.0000 3.7942
Nb Fe H Ru
1 1 1 2
Direct
0.0000 0.0000 0.0000
0.5000 0.5000 0.0000
0.5000 0.5000 0.5000
0.0000 0.5000 0.5000
0.5000 0.0000 0.5000
```

---

Entry 3:
Compound: CaLa6Cd5
Source: Alexandria
Functional: PBE
Structure: relaxed

* formation energy from the elements: -257 meV per atom

Geometry as POSCAR:
```
CaLa6Cd5
1.0
-2.8156 3.9333 8.4980
2.8156 -3.9333 8.4980
2.8156 3.9333 -8.4980
Ca La Cd
1 6 5
Direct
0.0000 0.0000 0.0000
0.0861 0.8265 0.2596
0.2723 0.5000 0.7723
0.4331 0.1735 0.2596
0.5669 0.8265 0.7404
0.7277 0.5000 0.2277
0.9139 0.1735 0.7404
0.1524 0.6524 0.5000
0.3325 0.3325 0.0000
0.5000 0.0000 0.5000
0.6675 0.6675 0.0000
0.8476 0.3476 0.5000
```

---

Entry 4:
Compound: TbTm2Zn2Ga2
Source: Alexandria
Functional: PBE
Structure: relaxed

* formation energy from the elements: -391 meV per atom

Geometry as POSCAR:
```
TbTm2Zn2Ga2
1.0
2.2185 1.2809 8.9693
-2.2185 1.2809 8.9693
0.0000 -2.5618 8.9693
Tb Tm Zn Ga
1 2 2 2
Direct
0.0000 0.0000 0.0000
0.1275 0.1275 0.1275
0.8725 0.8725 0.8725
0.4002 0.4002 0.4002
0.5998 0.5998 0.5998
0.2602 0.2602 0.2602
0.7398 0.7398 0.7398
```